1.
## SrCdIn2Bi (SCAN)

Data for a crystal of SrCdIn2Bi relaxed with PBEsol.

Output
- energy of formation from the pure elements (eV/atom) = 0.7012
- ρ (g cm⁻³) = 4.642

Unit cell a=5.9976 b=6.1716 c=6.1716 alpha=90.00 beta=90.00 gamma=90.00
Sites, in units of the cell vectors:
Sr: 0.0000 0.0000 0.0000
Cd: 0.5000 0.5000 0.5000
Bi: 0.5000 0.0000 0.0000
In: 0.0000 0.0000 0.5000
In: 0.0000 0.5000 0.0000

***

2.
## Fe5Ni3 (SCAN)

Data for a crystal of Fe5Ni3 relaxed with PBEsol.

Output
- energy of formation from the pure elements (eV/atom) = -0.0815
- ρ (g cm⁻³) = 8.768

Unit cell a=3.5092 b=4.9582 c=4.9582 alpha=91.74 beta=90.00 gamma=90.00
Sites, in units of the cell vectors:
Fe: 0.0000 0.0000 0.0000
Fe: 0.0000 0.0000 0.5000
Fe: 0.0000 0.5000 0.0000
Fe: 0.5000 0.7446 0.2554
Fe: 0.5000 0.2554 0.7446
Ni: 0.0000 0.5000 0.5000
Ni: 0.5000 0.2495 0.2495
Ni: 0.5000 0.7505 0.7505